one.
The following is a GGA-PBEsol calculation of crystalline KY2Tl at its relaxed geometry, from Alexandria.

The structure in POSCAR format:
```
KY2Tl
1.0
3.827 0.000 0.000
0.000 5.504 0.000
0.000 0.000 11.915
K Y Tl
2 4 2
Cartesian
0.000 0.000 0.000
1.914 2.752 5.957
0.000 0.000 5.227
0.000 2.752 2.510
1.914 0.000 8.467
1.914 2.752 11.185
0.000 2.752 8.747
1.914 0.000 2.789
```

Calculated values
As for the space group: Imm2, No. 44. The density comes out at 5574 kg/m3.

=====

two.
The following is a GGA-PBEsol calculation of crystalline KY2Tl at its relaxed geometry, from Alexandria.

The structure in POSCAR format:
```
KY2Tl
1.0
3.512 0.000 0.000
0.000 3.512 0.000
0.000 0.000 11.132
K Y Tl
1 2 1
Cartesian
0.000 0.000 0.000
1.756 1.756 3.530
1.756 1.756 7.602
0.000 0.000 5.566
```

Calculated values
As for the space group: P4/mmm, No. 123. The density comes out at 5096 kg/m3.

=====

three.
The following is a GGA-PBEsol calculation of crystalline KY2Tl at its relaxed geometry, from Alexandria.

The structure in POSCAR format:
```
KY2Tl
1.0
11.413 0.000 0.000
0.000 3.437 0.000
-0.965 0.000 6.679
K Y Tl
2 4 2
Cartesian
0.000 0.000 0.000
5.707 1.718 0.000
1.944 0.000 4.535
5.052 0.000 3.201
7.651 1.718 4.535
10.759 1.718 3.201
2.531 1.718 1.833
8.238 0.000 1.833
```

Calculated values
As for the space group: Cm, No. 8. The density comes out at 5340 kg/m3.

=====

Which structure wins on stability? two wins.

=====

one.
The following is a GGA-PBEsol calculation of crystalline K2TlZn at its relaxed geometry, from Alexandria.

The structure in POSCAR format:
```
K2TlZn
1.0
3.814 0.000 0.000
-1.907 3.303 0.000
0.000 0.000 33.492
K Tl Zn
6 3 3
Cartesian
0.000 0.000 8.248
0.000 0.000 25.244
0.000 2.202 14.080
0.000 2.202 30.576
1.907 1.101 2.916
1.907 1.101 19.412
0.000 0.000 0.000
0.000 2.202 22.328
1.907 1.101 11.164
0.000 0.000 16.746
0.000 2.202 5.582
1.907 1.101 27.910
```

Calculated values
As for the space group: R-3m, No. 166. The density comes out at 4109 kg/m3.

=====

two.
The following is a GGA-PBEsol calculation of crystalline K2TlZn at its relaxed geometry, from Alexandria.

The structure in POSCAR format:
```
K2TlZn
1.0
7.304 0.000 0.000
0.000 10.052 0.000
0.000 0.000 3.713
K Tl Zn
4 2 2
Cartesian
1.826 2.513 0.000
1.826 7.539 0.000
5.478 2.513 0.000
5.478 7.539 0.000
0.000 0.000 1.857
3.652 5.026 1.857
0.000 5.026 1.857
3.652 0.000 1.857
```

Calculated values
As for the space group: Cmmm, No. 65. The density comes out at 4239 kg/m3.

=====

Which structure wins on stability? two wins.

=====

one.
The following is a GGA-PBEsol calculation of crystalline KTl2Zn at its relaxed geometry, from Alexandria.

The structure in POSCAR format:
```
KTl2Zn
1.0
7.476 0.000 0.000
0.000 7.476 0.000
0.000 0.000 7.476
K Tl Zn
4 8 4
Cartesian
0.000 0.000 0.000
0.000 3.738 3.738
3.738 0.000 3.738
3.738 3.738 0.000
1.869 1.869 1.869
1.869 1.869 5.607
1.869 5.607 1.869
1.869 5.607 5.607
5.607 1.869 1.869
5.607 1.869 5.607
5.607 5.607 1.869
5.607 5.607 5.607
0.000 0.000 3.738
0.000 3.738 0.000
3.738 0.000 0.000
3.738 3.738 3.738
```

Calculated values
As for the space group: Fm-3m, No. 225. The density comes out at 8158 kg/m3.

=====

two.
The following is a GGA-PBEsol calculation of crystalline KTl2Zn at its relaxed geometry, from Alexandria.

The structure in POSCAR format:
```
KTl2Zn
1.0
4.625 0.000 0.000
-2.313 4.006 0.000
0.000 0.000 19.750
K Tl Zn
3 6 3
Cartesian
0.000 0.000 0.000
0.000 2.670 13.167
2.313 1.335 6.583
0.000 0.000 4.274
0.000 0.000 15.476
0.000 2.670 8.893
0.000 2.670 17.441
2.313 1.335 2.310
2.313 1.335 10.857
0.000 0.000 9.875
0.000 2.670 3.292
2.313 1.335 16.459
```

Calculated values
As for the space group: R-3m, No. 166. The density comes out at 6988 kg/m3.

=====

three.
The following is a GGA-PBEsol calculation of crystalline KTl2Zn at its relaxed geometry, from Alexandria.

The structure in POSCAR format:
```
KTl2Zn
1.0
4.341 0.000 0.000
0.000 5.448 0.000
0.000 0.000 9.536
K Tl Zn
2 4 2
Cartesian
0.000 0.000 0.000
2.171 2.724 4.768
0.000 0.000 5.169
0.000 2.724 7.466
2.171 0.000 2.698
2.171 2.724 0.401
0.000 2.724 2.221
2.171 0.000 6.989
```

Calculated values
As for the space group: Imm2, No. 44. The density comes out at 7558 kg/m3.

=====

Which structure wins on stability? two wins.

=====

one.
The following is a GGA-PBEsol calculation of crystalline KW3 at its relaxed geometry, from Alexandria.

The structure in POSCAR format:
```
KW3
1.0
9.173 0.000 0.000
0.000 2.620 0.000
-0.101 0.000 7.409
K W
2 6
Cartesian
0.000 0.000 0.000
4.587 1.310 0.000
-0.050 1.310 3.704
2.146 0.000 4.886
2.341 1.310 2.523
4.536 0.000 3.704
6.732 1.310 4.886
6.927 0.000 2.523
```

Calculated values
As for the space group: C2/m, No. 12. The density comes out at 11017 kg/m3.

=====

two.
The following is a GGA-PBEsol calculation of crystalline KW3 at its relaxed geometry, from Alexandria.

The structure in POSCAR format:
```
KW3
1.0
2.783 0.000 0.000
-1.391 2.410 0.000
0.000 0.000 33.146
K W
3 9
Cartesian
0.000 0.000 0.000
0.000 1.607 22.097
1.391 0.803 11.049
0.000 0.000 7.922
0.000 0.000 16.573
0.000 0.000 25.225
0.000 1.607 5.524
0.000 1.607 14.176
0.000 1.607 30.019
1.391 0.803 3.127
1.391 0.803 18.970
1.391 0.803 27.622
```

Calculated values
As for the space group: R-3m, No. 166. The density comes out at 13234 kg/m3.

=====

Which structure wins on stability? two wins.